Record 1
First-principles (PBE-GGA) data for a relaxed PrGa3Ru crystal, as listed in Alexandria via LeMat-Bulk.

## Properties
The value obtained for the formation energy from the elements is -0.42 eV/atom. Its size of the total moment is 0.0 Bohr magnetons per cell. The energy above the most stable polymorph in this dataset is 4 meV/atom.

abc: 4.7519 4.7519 4.7519
angles: 90.00 90.00 90.00
Last column: nearest neighbours and their distance in Å.
Sites, in units of the cell vectors:
1 Ga 0.5000 0.0000 0.0000  2 Ru 2.38
2 Ga 0.0000 0.0000 0.5000  2 Ru 2.38
3 Ga 0.0000 0.5000 0.0000  2 Ru 2.38
4 Ru 0.0000 0.0000 0.0000  6 Ga 2.38
5 Pr 0.5000 0.5000 0.5000  12 Ga 3.36

Record 2
First-principles (PBE-GGA) data for a relaxed Pr2Ga3Ru crystal, as listed in Alexandria via LeMat-Bulk.

## Properties
The value obtained for the formation energy from the elements is -0.53 eV/atom. Its size of the total moment is 0.0 Bohr magnetons per cell.

abc: 4.2851 5.8746 6.0473
angles: 76.02 69.25 68.61
Last column: nearest neighbours and their distance in Å.
Sites, in units of the cell vectors:
1 Pr 0.5559 0.1986 0.6896  9 Ga 3.11-3.43, 2 Ru 3.13
2 Pr 0.4480 0.8070 0.2971  3 Ru 3.13-3.19, 8 Ga 3.14-3.42
3 Ga 0.1797 0.7336 0.9070  2 Ga 2.60, 1 Ru 2.75
4 Ga 0.8150 0.2618 0.1081  2 Ru 2.56, 1 Ga 2.83
5 Ga 0.8496 0.6098 0.6910  3 Ga 2.60-2.83, 1 Ru 2.62
6 Ru 0.1519 0.3891 0.3071  4 Ga 2.56-2.75